## PuSnS4 (PBE)

Data for a relaxed PuSnS4 crystal.

Values from the calculation:
symmetry = C2/m, No. 12
uncorrected formation energy = -4.69 eV/f.u.

Structure (POSCAR):
```
PuSnS4
1.0
3.862 0.000 0.000
-1.931 7.178 0.350
0.000 -3.303 5.816
S Sn Pu
4 1 1
Cartesian
1.931 3.710 3.547
0.000 5.403 0.543
0.000 0.165 2.619
1.931 -1.527 5.623
0.000 0.000 0.000
1.931 -1.651 2.908
```

***

## AcThS2O (PBE)

Data for a relaxed AcThS2O crystal.

Values from the calculation:
symmetry = P4/nmm, No. 129
uncorrected formation energy = -12.39 eV/f.u.

Structure (POSCAR):
```
AcThS2O
1.0
-1.680 0.419 3.719
3.330 -1.693 1.695
5.909 12.842 1.221
Th Ac S O
2 2 4 2
Cartesian
6.931 10.599 1.936
-0.197 1.607 1.992
2.673 7.845 2.585
4.061 4.360 1.343
0.894 3.978 2.218
2.284 0.498 0.975
5.840 8.227 1.710
4.450 11.707 2.953
2.955 6.421 0.610
3.779 5.784 3.318
```

***

## Dy2Al2Cu (PBE)

Data for a relaxed Dy2Al2Cu crystal.

Values from the calculation:
symmetry = C2/m, No. 12
formation energy = -0.40 eV/atom

Structure (POSCAR):
```
Dy2Al2Cu
1.0
4.313 0.000 1.022
2.153 5.235 0.529
-0.002 -0.276 9.617
Dy Cu Al
4 2 4
Cartesian
2.865 3.413 7.134
4.542 1.163 9.669
3.599 1.546 4.034
1.923 3.796 1.499
2.908 0.368 6.951
3.556 4.591 4.217
1.897 0.716 1.606
0.951 1.212 5.600
4.567 4.243 9.562
5.514 3.748 5.568
```

***

## Ta3AgIr (PBE)

Data for a relaxed Ta3AgIr crystal.

Values from the calculation:
symmetry = Pm-3m, No. 221
formation energy = 1.09 eV/atom
energy above the most stable polymorph in this dataset = 0 meV/atom

Structure (POSCAR):
```
Ta3AgIr
1.0
4.853 0.000 0.000
0.000 4.853 0.000
0.000 0.000 4.853
Ir Ta Ag
1 3 1
Cartesian
0.000 0.000 0.000
0.000 2.427 0.000
0.000 0.000 2.427
2.427 0.000 0.000
2.427 2.427 2.427
```

***

## NaLa2Au3 (PBE)

Data for a relaxed NaLa2Au3 crystal.

Values from the calculation:
symmetry = P-3m1, No. 164
formation energy = -0.68 eV/atom
energy above the most stable polymorph in this dataset = 0 meV/atom

Structure (POSCAR):
```
NaLa2Au3
1.0
-4.697 2.294 -0.680
0.320 -4.700 2.365
1.180 5.760 11.288
La Au Na
4 6 2
Cartesian
-2.062 4.663 9.548
0.590 2.880 5.644
-1.135 -1.310 3.426
0.000 0.000 0.000
-0.844 0.114 6.217
-0.259 2.972 11.817
0.889 4.340 8.507
-2.354 3.239 6.757
-2.939 0.382 1.157
0.291 1.419 2.781
-0.564 1.481 8.894
-2.633 1.873 4.079
```

***

## NiHg2Te (PBE)

Data for a relaxed NiHg2Te crystal.

Values from the calculation:
symmetry = Cm, No. 8
uncorrected formation energy = 0.06 eV/f.u.

Structure (POSCAR):
```
NiHg2Te
1.0
-0.258 -2.847 -2.450
2.259 -0.093 -3.011
5.989 -5.003 2.314
Hg Ni Te
2 1 1
Cartesian
5.917 -4.949 2.260
5.746 -5.771 -2.552
3.905 -3.905 -1.647
2.405 -2.293 -0.467
```

***

| no. | density of states at the Fermi level (states/eV/f.u.) |
| --- | --- |
| 1 | 9.7 |
| 2 | 1.6 |
| 3 | 3.5 |
| 4 | 2.9 |
| 5 | 4.3 |
| 6 | 1.8 |